Entry 1:
A plane-wave DFT calculation with PBE-GGA was carried out for crystalline K3Cd4Sb4 at its relaxed geometry.

a b c (Å): 5.6316 7.3884 9.4205
angles (deg): 113.09 107.39 90.00
Sites, in units of the cell vectors:
K 0.0000 0.5000 0.0000
K 0.8821 0.8821 0.7643
K 0.1179 0.1179 0.2357
Sb 0.5000 0.1951 0.0000
Sb 0.5000 0.8049 0.0000
Sb 0.7854 0.2854 0.5707
Sb 0.2146 0.7146 0.4293
Cd 0.3288 0.5267 0.6577
Cd 0.6712 0.8690 0.3423
Cd 0.6712 0.4733 0.3423
Cd 0.3288 0.1310 0.6577

Values from the calculation:
SG: Immm, No. 71
Formation energy from raw total energies: -0.29 eV per atom

Entry 2:
A plane-wave DFT calculation with PBE-GGA was carried out for crystalline K3CdSb at its relaxed geometry.

a b c (Å): 6.7737 6.7737 6.7737
angles (deg): 90.00 90.00 90.00
Sites, in units of the cell vectors:
K 0.0000 0.5000 0.0000
K 0.5000 0.0000 0.0000
K 0.0000 0.0000 0.5000
Cd 0.5000 0.5000 0.5000
Sb 0.0000 0.0000 0.0000

Values from the calculation:
Excess energy over the best structure of this formula in the dataset: 91 meV/atom
SG: Pm-3m, No. 221
Formation energy from raw total energies: -0.13 eV per atom

Entry 3:
A plane-wave DFT calculation with PBE-GGA was carried out for crystalline KCdSb at its relaxed geometry.

a b c (Å): 9.1940 9.0292 7.5411
angles (deg): 66.70 64.42 48.88
Sites, in units of the cell vectors:
Sb 0.2050 0.7950 0.2050
Sb 0.9550 0.5450 0.9550
Sb 0.5450 0.9550 0.5450
Sb 0.7950 0.2050 0.7950
Cd 0.1308 0.1308 0.8692
Cd 0.8808 0.8808 0.6192
Cd 0.6192 0.6192 0.8808
Cd 0.8692 0.8692 0.1308
K 0.6119 0.6119 0.3881
K 0.3619 0.3619 0.1381
K 0.1381 0.1381 0.3619
K 0.3881 0.3881 0.6119

Values from the calculation:
SG: Fddd, No. 70
Formation energy from raw total energies: -0.24 eV per atom